No. 1
Density functional theory data (PBE) for a relaxed structure of Ba3Sr2P3.

Structure (POSCAR):
```
Ba3Sr2P3
1.0
9.1734 0.0000 0.0000
-4.5867 7.9444 0.0000
0.0000 0.0000 7.3694
Ba Sr P
6 4 6
Cartesian
-1.1836 2.0500 1.8424
-3.4031 5.8944 5.5271
2.3671 0.0000 1.8424
1.1836 2.0500 5.5271
6.8063 0.0000 5.5271
3.4031 5.8944 1.8424
0.0000 5.2963 0.0000
0.0000 5.2963 3.6847
4.5867 2.6481 0.0000
4.5867 2.6481 3.6847
-1.8147 3.1432 5.5271
-2.7720 4.8012 1.8424
3.6294 0.0000 5.5271
1.8147 3.1432 1.8424
5.5440 0.0000 1.8424
2.7720 4.8012 5.5271
```

## Properties
Energy of formation: -922 meV per atom
Total energy: -4.092 eV/atom
Size of the total moment: 1.99 μB per cell
Fermi-level density of states: 0.1928 states/eV per atom

No. 2
Density functional theory data (PBE) for a relaxed structure of TlTc2Rh.

Structure (POSCAR):
```
TlTc2Rh
1.0
4.7391 0.0000 0.0000
0.0000 4.7391 0.0000
0.0000 0.0000 2.9250
Tl Tc Rh
1 2 1
Cartesian
0.0000 0.0000 0.0000
0.0000 2.3695 1.4625
2.3695 0.0000 1.4625
2.3695 2.3695 0.0000
```

## Properties
Energy of formation: 723 meV per atom
Relative energy among the computed polymorphs: 477 meV/atom
Total energy: -6.889 eV/atom
Size of the total moment: 0.00 μB per cell
Fermi-level density of states: 1.6943 states/eV per atom

No. 3
Density functional theory data (PBE) for a relaxed structure of KMg4Rh.

Structure (POSCAR):
```
KMg4Rh
1.0
0.0000 4.1193 4.1193
4.1193 0.0000 4.1193
4.1193 4.1193 0.0000
K Mg Rh
1 4 1
Cartesian
0.0000 0.0000 0.0000
5.1343 3.1043 3.1043
3.1043 5.1343 3.1043
3.1043 3.1043 5.1343
5.1343 5.1343 5.1343
2.0596 2.0596 2.0596
```

## Properties
Energy of formation: 302 meV per atom
Total energy: -2.169 eV/atom
Size of the total moment: 0.00 μB per cell
Fermi-level density of states: 0.7215 states/eV per atom

No. 4
Density functional theory data (PBE) for a relaxed structure of SrReN3.

Structure (POSCAR):
```
SrReN3
1.0
2.7589 1.5928 5.4109
-2.7589 1.5928 5.4109
0.0000 -3.1857 5.4109
Sr Re N
2 2 6
Cartesian
0.0000 0.0000 2.0725
0.0000 0.0000 14.1603
0.0000 0.0000 5.7512
0.0000 0.0000 10.4816
-1.2350 -1.1254 6.5804
-1.5921 0.5068 9.6524
0.3572 -1.6322 9.6524
-0.3572 1.6322 6.5804
1.5922 -0.5068 6.5804
1.2350 1.1254 9.6524
```

## Properties
Raw formation energy: -0.3121 eV per atom
Total energy: -8.133 eV/atom
Size of the total moment: 0.00 μB per cell
Fermi-level density of states: 0.0000 states/eV per atom

No. 5
Density functional theory data (PBE) for a relaxed structure of LaPdSe3.

Structure (POSCAR):
```
LaPdSe3
1.0
5.7644 0.0000 0.0000
0.0000 5.7644 0.0000
0.0000 0.0000 5.7644
La Pd Se
1 1 3
Cartesian
0.0000 0.0000 0.0000
2.8822 2.8822 2.8822
0.0000 0.0000 2.8822
0.0000 2.8822 0.0000
2.8822 0.0000 0.0000
```

## Properties
Raw formation energy: 0.1152 eV per atom
Relative energy among the computed polymorphs: 981 meV/atom
Total energy: -4.000 eV/atom
Size of the total moment: 2.93 μB per cell
Fermi-level density of states: 0.6933 states/eV per atom

No. 6
Density functional theory data (PBE) for a relaxed structure of NdErHgPd.

Structure (POSCAR):
```
NdErHgPd
1.0
0.0000 3.6626 3.6626
3.6626 0.0000 3.6626
3.6626 3.6626 0.0000
Nd Er Hg Pd
1 1 1 1
Cartesian
0.0000 0.0000 0.0000
3.6626 3.6626 3.6626
1.8313 1.8313 1.8313
5.4938 5.4938 5.4938
```

## Properties
Energy of formation: -601 meV per atom
Total energy: -4.308 eV/atom
Size of the total moment: 0.00 μB per cell
Fermi-level density of states: 0.7924 states/eV per atom

No. 7
Density functional theory data (PBE) for a relaxed structure of Al2InSeI.

Structure (POSCAR):
```
Al2InSeI
1.0
5.2434 0.0000 0.0000
0.0000 5.2434 0.0000
0.0000 0.0000 5.9265
Al In Se I
2 1 1 1
Cartesian
0.0000 2.6217 0.0000
2.6217 0.0000 0.0000
0.0000 0.0000 2.9633
2.6217 2.6217 0.0000
2.6217 2.6217 2.9633
```

## Properties
Raw formation energy: 0.4318 eV per atom
Total energy: -2.620 eV/atom
Size of the total moment: 0.00 μB per cell
Fermi-level density of states: 0.5475 states/eV per atom

No. 8
Density functional theory data (PBE) for a relaxed structure of SmAlCd2Pd4.

Structure (POSCAR):
```
SmAlCd2Pd4
1.0
2.3405 1.3513 7.6617
-2.3405 1.3513 7.6617
0.0000 -2.7026 7.6617
Sm Al Cd Pd
1 1 2 4
Cartesian
0.0000 0.0000 0.0000
0.0000 0.0000 11.4925
0.0000 0.0000 5.7688
0.0000 0.0000 17.2162
0.0000 0.0000 3.0081
0.0000 0.0000 8.9800
0.0000 0.0000 14.0050
0.0000 0.0000 19.9769
```

## Properties
Energy of formation: -621 meV per atom
Total energy: -4.504 eV/atom
Size of the total moment: 0.00 μB per cell
Fermi-level density of states: 0.4064 states/eV per atom